The following is a DFT calculation (PBE) of a relaxed CsK5 crystal.

Cell and atoms, written as extended XYZ:
```
6
Lattice="-3.161 -6.715 -2.458 3.754 0.931 -7.373 3.860 -4.069 6.153" Properties=species:S:1:pos:R:3 pbc="T T T"
Cs -1.581 -3.358 -1.229
K 1.326 0.329 -2.604
K 1.363 -1.437 2.173
K 4.925 -2.030 -0.789
K 2.209 -4.093 -4.093
K 2.244 -5.760 0.415
```

**Total moment**: 0.00 μB per atom
**Crystal system**: hexagonal
**SG**: P-62m, No. 189
**Raw total energy**: -6.3 eV for the cell shown
**Calculated volume**: 78.2 A^3/atom